Here is an optimized crystal structure of ThH7Rh2 from Alexandria. Energies are from PBE.

```
ThH7Rh2
1.0
2.551 -4.641 0.000
2.551 4.641 0.000
0.000 0.000 3.613
Th H Rh
1 7 2
Direct
0.000 0.000 0.000
0.029 0.311 0.500
0.311 0.029 0.500
0.323 0.677 0.000
0.500 0.500 0.500
0.677 0.323 0.000
0.689 0.971 0.500
0.971 0.689 0.500
0.318 0.682 0.500
0.682 0.318 0.500
```

As for the space group: Cmmm.

***

Here is an optimized crystal structure of ThH3Rh from Alexandria. Energies are from PBE.

```
ThH3Rh
1.0
4.417 0.000 0.000
0.000 6.661 0.000
-2.034 0.000 4.058
Th H Rh
2 6 2
Direct
0.177 0.250 0.327
0.823 0.750 0.673
0.281 0.574 0.593
0.281 0.926 0.593
0.394 0.750 0.110
0.606 0.250 0.890
0.719 0.074 0.407
0.719 0.426 0.407
0.500 0.000 0.000
0.500 0.500 0.000
```

As for the space group: P2_1/m.

***

Here is an optimized crystal structure of Th2HRh6 from Alexandria. Energies are from PBE.

```
Th2HRh6
1.0
0.000 4.148 4.148
4.148 0.000 4.148
4.148 4.148 0.000
Th H Rh
2 1 6
Direct
0.250 0.250 0.250
0.750 0.750 0.750
0.000 0.000 0.000
0.251 0.251 0.749
0.251 0.749 0.251
0.251 0.749 0.749
0.749 0.251 0.251
0.749 0.251 0.749
0.749 0.749 0.251
```

As for the space group: Fm-3m.

***

Here is an optimized crystal structure of Th12H5Rh3 from Alexandria. Energies are from PBE.

```
Th12H5Rh3
1.0
-7.732 7.732 7.732
7.732 -7.732 7.732
7.732 7.732 -7.732
Th H Rh
48 20 12
Direct
0.027 0.215 0.115
0.027 0.312 0.912
0.088 0.615 0.400
0.088 0.973 0.688
0.100 0.715 0.688
0.100 0.885 0.412
0.115 0.027 0.215
0.115 0.588 0.900
0.188 0.215 0.600
0.188 0.473 0.588
0.215 0.115 0.027
0.215 0.600 0.188
0.285 0.312 0.900
0.285 0.473 0.385
0.312 0.900 0.285
0.312 0.912 0.027
0.385 0.285 0.473
0.385 0.600 0.912
0.400 0.088 0.615
0.400 0.812 0.785
0.412 0.100 0.885
0.412 0.812 0.527
0.473 0.385 0.285
0.473 0.588 0.188
0.527 0.412 0.812
0.527 0.615 0.715
0.588 0.188 0.473
0.588 0.900 0.115
0.600 0.188 0.215
0.600 0.912 0.385
0.615 0.400 0.088
0.615 0.715 0.527
0.688 0.088 0.973
0.688 0.100 0.715
0.715 0.527 0.615
0.715 0.688 0.100
0.785 0.400 0.812
0.785 0.885 0.973
0.812 0.527 0.412
0.812 0.785 0.400
0.885 0.412 0.100
0.885 0.973 0.785
0.900 0.115 0.588
0.900 0.285 0.312
0.912 0.027 0.312
0.912 0.385 0.600
0.973 0.688 0.088
0.973 0.785 0.885
0.000 0.000 0.000
0.000 0.000 0.500
0.000 0.500 0.000
0.000 0.500 0.500
0.125 0.750 0.875
0.125 0.875 0.250
0.250 0.125 0.875
0.250 0.625 0.375
0.375 0.250 0.625
0.375 0.625 0.750
0.500 0.000 0.000
0.500 0.000 0.500
0.500 0.500 0.000
0.500 0.500 0.500
0.625 0.375 0.250
0.625 0.750 0.375
0.750 0.375 0.625
0.750 0.875 0.125
0.875 0.125 0.750
0.875 0.250 0.125
0.125 0.250 0.375
0.125 0.375 0.750
0.250 0.375 0.125
0.250 0.875 0.625
0.375 0.125 0.250
0.375 0.750 0.125
0.625 0.250 0.875
0.625 0.875 0.750
0.750 0.125 0.375
0.750 0.625 0.875
0.875 0.625 0.250
0.875 0.750 0.625
```

As for the space group: Ia-3d.

***

Here is an optimized crystal structure of ThH2Rh from Alexandria. Energies are from PBE.

```
ThH2Rh
1.0
2.129 1.229 3.547
-2.129 1.229 3.547
0.000 -2.458 3.547
Th H Rh
1 2 1
Direct
0.000 0.000 0.000
0.340 0.340 0.340
0.660 0.660 0.660
0.500 0.500 0.500
```

The calculation puts the offset from the most stable computed form at 10 meV/atom. As for the space group: R-3m.

***

Here is an optimized crystal structure of ThH7Rh4 from Alexandria. Energies are from PBE.

```
ThH7Rh4
1.0
9.083 0.000 0.000
0.000 5.420 0.000
0.000 0.000 4.745
Th H Rh
2 14 8
Direct
0.000 0.245 0.000
0.500 0.755 0.500
0.000 0.760 0.625
0.103 0.186 0.510
0.138 0.587 0.344
0.179 0.921 0.875
0.321 0.079 0.375
0.362 0.413 0.844
0.397 0.814 0.010
0.500 0.240 0.125
0.603 0.814 0.010
0.638 0.413 0.844
0.679 0.079 0.375
0.821 0.921 0.875
0.862 0.587 0.344
0.897 0.186 0.510
0.162 0.892 0.498
0.224 0.611 0.001
0.276 0.389 0.501
0.338 0.108 0.998
0.662 0.108 0.998
0.724 0.389 0.501
0.776 0.611 0.001
0.838 0.892 0.498
```

As for the space group: Pmn2_1.

***

Here is an optimized crystal structure of Th4TlH3Rh12 from Alexandria. Energies are from PBE.

```
Th4TlH3Rh12
1.0
-4.321 4.321 4.321
4.321 -4.321 4.321
4.321 4.321 -4.321
Th Tl H Rh
4 1 3 12
Direct
0.000 0.000 0.500
0.000 0.500 0.000
0.500 0.000 0.000
0.500 0.500 0.500
0.000 0.000 0.000
0.000 0.500 0.500
0.500 0.000 0.500
0.500 0.500 0.000
0.000 0.298 0.298
0.000 0.702 0.702
0.250 0.500 0.750
0.250 0.750 0.500
0.298 0.000 0.298
0.298 0.298 0.000
0.500 0.250 0.750
0.500 0.750 0.250
0.702 0.000 0.702
0.702 0.702 0.000
0.750 0.250 0.500
0.750 0.500 0.250
```

As for the space group: Im-3m.

***

Here is an optimized crystal structure of TiHRh3 from Alexandria. Energies are from PBE.

```
TiHRh3
1.0
2.966 0.000 0.000
-1.483 2.568 0.000
0.000 0.000 16.708
Ti H Rh
2 2 6
Direct
0.000 0.000 0.000
0.000 0.000 0.500
0.333 0.667 0.250
0.667 0.333 0.750
0.000 0.000 0.250
0.000 0.000 0.750
0.333 0.667 0.113
0.333 0.667 0.387
0.667 0.333 0.613
0.667 0.333 0.887
```

The calculation puts the offset from the most stable computed form at 341 meV/atom. As for the space group: P6_3/mmc.

***

Looking at electronic total energy for the records above, in order, we have -4.84, -5.43, -7.62, -6.66, -5.95, -5.24, -7.06, -6.86 eV per atom.
Looking at ρ for the records above, in order, we have 8.64, 9.40, 12.60, 11.13, 10.05, 9.25, 12.20, 9.33 g cm⁻³.